Record 1
Crystalline Rb2AcSbS4 at its relaxed geometry. Source: the Alexandria database, functional GGA-PBE.

a = 8.8204 Å, b = 8.8204 Å, c = 8.8204 Å
α = 121.12°, β = 118.71°, γ = 90.15°
Closest atoms and distances in Å follow each position.
Sites, in units of the cell vectors:
Rb  0.0000  0.0000  0.0000  6 S 3.27-3.28
Rb  0.5000  0.0000  0.0000  6 S 3.39-3.40
Rb  0.5000  0.0000  0.5000  6 S 3.27-3.28
Rb  0.5000  0.5000  0.5000  6 S 3.39-3.40
Ac  0.0000  0.5000  0.5000  6 S 2.99-3.00
Ac  0.5000  0.5000  0.0000  6 S 2.99-3.00
Sb  0.0000  0.0000  0.5000  6 S 2.85-2.88
Sb  0.0000  0.5000  0.0000  6 S 2.85-2.88
S  0.1992  0.7393  0.4599  2 Sb 2.88, 1 Ac 3.00
S  0.2206  0.2607  0.9599  2 Sb 2.88, 1 Ac 3.00
S  0.2279  0.2521  0.5242  1 Sb 2.85, 2 Ac 2.99
S  0.2279  0.7037  0.9758  1 Sb 2.85, 2 Ac 2.99
S  0.7721  0.2963  0.0242  1 Sb 2.85, 2 Ac 2.99
S  0.7721  0.7479  0.4758  1 Sb 2.85, 2 Ac 2.99
S  0.7794  0.7393  0.0401  2 Sb 2.88, 1 Ac 3.00
S  0.8008  0.2607  0.5401  2 Sb 2.88, 1 Ac 3.00

Values from the calculation:
The value obtained for the raw total energy is -4.5660 eV per atom. The calculation puts the total moment at 0.000 μB/cell.


Record 2
Crystalline Rb4Ac3SbS8 at its relaxed geometry. Source: the Alexandria database, functional GGA-PBE.

a = 9.2359 Å, b = 9.2359 Å, c = 9.2359 Å
α = 56.60°, β = 56.60°, γ = 56.60°
Closest atoms and distances in Å follow each position.
Sites, in units of the cell vectors:
Rb  0.0000  0.0000  0.0000  6 S 3.51
Rb  0.0000  0.5000  0.5000  6 S 3.40
Rb  0.5000  0.0000  0.5000  6 S 3.40
Rb  0.5000  0.5000  0.0000  6 S 3.40
Ac  0.0000  0.0000  0.5000  6 S 2.99-3.01
Ac  0.0000  0.5000  0.0000  6 S 2.99-3.01
Ac  0.5000  0.0000  0.0000  6 S 2.99-3.01
Sb  0.5000  0.5000  0.5000  6 S 2.87
S  0.2354  0.2354  0.2354  3 Ac 2.99
S  0.2471  0.7261  0.7261  1 Sb 2.87, 2 Ac 3.01
S  0.2739  0.2739  0.7529  1 Sb 2.87, 2 Ac 3.01
S  0.2739  0.7529  0.2739  1 Sb 2.87, 2 Ac 3.01
S  0.7261  0.2471  0.7261  1 Sb 2.87, 2 Ac 3.01
S  0.7261  0.7261  0.2471  1 Sb 2.87, 2 Ac 3.01
S  0.7529  0.2739  0.2739  1 Sb 2.87, 2 Ac 3.01
S  0.7646  0.7646  0.7646  3 Ac 2.99

Values from the calculation:
The calculation puts the density of states at the Fermi level at 0.00 states/eV per cell. The value obtained for the raw total energy is -4.8966 eV per atom. The calculation puts the total moment at 0.000 μB/cell.


Record 3
Crystalline Rb3Ac3ScS8 at its relaxed geometry. Source: the Alexandria database, functional GGA-PBE.

a = 8.6519 Å, b = 8.6519 Å, c = 9.2677 Å
α = 117.87°, β = 117.87°, γ = 59.95°
Closest atoms and distances in Å follow each position.
Sites, in units of the cell vectors:
Rb  0.0000  0.0000  0.0000  6 S 3.39-3.43
Rb  0.0000  0.5000  0.0000  6 S 3.39-3.43
Rb  0.5000  0.0000  0.0000  6 S 3.39-3.43
Ac  0.0000  0.5000  0.5000  6 S 2.97-3.00
Ac  0.5000  0.0000  0.5000  6 S 2.97-3.00
Ac  0.5000  0.5000  0.5000  6 S 2.97-3.00
Sc  0.0000  0.0000  0.5000  6 S 2.66-2.67
S  0.2112  0.2112  0.6842  1 Sc 2.67
S  0.2112  0.7620  0.6842  1 Sc 2.66
S  0.2380  0.7888  0.3158  1 Sc 2.66
S  0.2645  0.2645  0.2934  3 Ac 2.97
S  0.7355  0.7355  0.7066  3 Ac 2.97
S  0.7620  0.2112  0.6842  1 Sc 2.66
S  0.7888  0.2380  0.3158  1 Sc 2.66
S  0.7888  0.7888  0.3158  1 Sc 2.67

Values from the calculation:
The calculation puts the density of states at the Fermi level at 20.33 states/eV per cell. The value obtained for the raw total energy is -5.3589 eV per atom. The calculation puts the total moment at 0.411 μB/cell.


Record 4
Crystalline Rb3Ac2SnS6 at its relaxed geometry. Source: the Alexandria database, functional GGA-PBE.

a = 7.5210 Å, b = 7.5210 Å, c = 8.1382 Å
α = 98.86°, β = 98.86°, γ = 120.00°
Closest atoms and distances in Å follow each position.
Sites, in units of the cell vectors:
Rb  0.0000  0.0000  0.0000  6 S 3.37-3.52
Rb  0.3347  0.6653  0.0000  6 S 3.36-3.52
Rb  0.6653  0.3347  0.0000  6 S 3.36-3.52
Ac  0.1668  0.8332  0.5000  6 S 3.00
Ac  0.8332  0.1668  0.5000  6 S 3.00
Sn  0.5000  0.5000  0.5000  6 S 2.84
S  0.1167  0.4332  0.2996  1 Sn 2.84, 2 Ac 3.00
S  0.2502  0.2502  0.6995  1 Sn 2.84, 2 Ac 3.00
S  0.4332  0.1167  0.2996  1 Sn 2.84, 2 Ac 3.00
S  0.5668  0.8833  0.7004  1 Sn 2.84, 2 Ac 3.00
S  0.7498  0.7498  0.3005  1 Sn 2.84, 2 Ac 3.00
S  0.8833  0.5668  0.7004  1 Sn 2.84, 2 Ac 3.00

Values from the calculation:
The calculation puts the density of states at the Fermi level at 6.53 states/eV per cell. The value obtained for the raw total energy is -4.7761 eV per atom. The calculation puts the total moment at 0.000 μB/cell.


Record 5
Crystalline Rb4Ac3SnS8 at its relaxed geometry. Source: the Alexandria database, functional GGA-PBE.

a = 9.2468 Å, b = 9.2468 Å, c = 9.2468 Å
α = 56.44°, β = 56.44°, γ = 56.44°
Closest atoms and distances in Å follow each position.
Sites, in units of the cell vectors:
Rb  0.0000  0.0000  0.0000  6 S 3.52
Rb  0.0000  0.5000  0.5000  6 S 3.40
Rb  0.5000  0.0000  0.5000  6 S 3.40
Rb  0.5000  0.5000  0.0000  6 S 3.40
Ac  0.0000  0.0000  0.5000  6 S 2.99-3.01
Ac  0.0000  0.5000  0.0000  6 S 2.99-3.01
Ac  0.5000  0.0000  0.0000  6 S 2.99-3.01
Sn  0.5000  0.5000  0.5000  6 S 2.86
S  0.2354  0.2354  0.2354  3 Ac 2.99
S  0.2482  0.7253  0.7253  1 Sn 2.86, 2 Ac 3.01
S  0.2747  0.2747  0.7518  1 Sn 2.86, 2 Ac 3.01
S  0.2747  0.7518  0.2747  1 Sn 2.86, 2 Ac 3.01
S  0.7253  0.2482  0.7253  1 Sn 2.86, 2 Ac 3.01
S  0.7253  0.7253  0.2482  1 Sn 2.86, 2 Ac 3.01
S  0.7518  0.2747  0.2747  1 Sn 2.86, 2 Ac 3.01
S  0.7646  0.7646  0.7646  3 Ac 2.99

Values from the calculation:
The calculation puts the density of states at the Fermi level at 2.53 states/eV per cell. The value obtained for the raw total energy is -4.8853 eV per atom. The calculation puts the total moment at 0.000 μB/cell.


Record 6
Crystalline RbAcSnS4 at its relaxed geometry. Source: the Alexandria database, functional GGA-PBE.

a = 7.1465 Å, b = 7.0114 Å, c = 9.3181 Å
α = 90.00°, β = 106.76°, γ = 90.00°
Closest atoms and distances in Å follow each position.
Sites, in units of the cell vectors:
Rb  0.2288  0.2500  0.4344  8 S 3.39-3.77
Rb  0.7712  0.7500  0.5656  8 S 3.39-3.77
Ac  0.2687  0.2500  0.9443  6 S 3.03-3.09
Ac  0.7313  0.7500  0.0557  6 S 3.03-3.09
Sn  0.2736  0.7500  0.1793  4 S 2.38-2.41
Sn  0.7264  0.2500  0.8207  4 S 2.38-2.41
S  0.0690  0.7500  0.3404  1 Sn 2.38
S  0.0723  0.7500  0.9221  1 Sn 2.41
S  0.4982  0.5114  0.7877  1 Sn 2.41
S  0.4982  0.9886  0.7877  1 Sn 2.41
S  0.5018  0.0114  0.2122  1 Sn 2.41
S  0.5018  0.4886  0.2122  1 Sn 2.41
S  0.9277  0.2500  0.0779  1 Sn 2.41
S  0.9310  0.2500  0.6596  1 Sn 2.38

Values from the calculation:
The calculation puts the density of states at the Fermi level at 0.00 states/eV per cell. The value obtained for the raw total energy is -4.9373 eV per atom. The calculation puts the total moment at 0.000 μB/cell.


Record 7
Crystalline Rb3Ac3SnS8 at its relaxed geometry. Source: the Alexandria database, functional GGA-PBE.

a = 9.3206 Å, b = 9.3206 Å, c = 9.3206 Å
α = 55.23°, β = 55.23°, γ = 55.23°
Closest atoms and distances in Å follow each position.
Sites, in units of the cell vectors:
Rb  0.0000  0.5000  0.5000  6 S 3.41-3.42
Rb  0.5000  0.0000  0.5000  6 S 3.41-3.42
Rb  0.5000  0.5000  0.0000  6 S 3.41-3.42
Ac  0.0000  0.0000  0.5000  6 S 2.96-3.03
Ac  0.0000  0.5000  0.0000  6 S 2.96-3.03
Ac  0.5000  0.0000  0.0000  6 S 2.96-3.03
Sn  0.5000  0.5000  0.5000  6 S 2.67
S  0.2344  0.2344  0.2344  3 Ac 2.96
S  0.2660  0.7111  0.7111  1 Sn 2.67
S  0.2889  0.2889  0.7340  1 Sn 2.67
S  0.2889  0.7340  0.2889  1 Sn 2.67
S  0.7111  0.2660  0.7111  1 Sn 2.67
S  0.7111  0.7111  0.2660  1 Sn 2.67
S  0.7340  0.2889  0.2889  1 Sn 2.67
S  0.7656  0.7656  0.7656  3 Ac 2.96

Values from the calculation:
The value obtained for the raw total energy is -5.0205 eV per atom. The calculation puts the total moment at 0.000 μB/cell.


Record 8
Crystalline Rb2AcSnS4 at its relaxed geometry. Source: the Alexandria database, functional GGA-PBE.

a = 7.3676 Å, b = 4.3174 Å, c = 8.1290 Å
α = 90.00°, β = 108.00°, γ = 90.00°
Closest atoms and distances in Å follow each position.
Sites, in units of the cell vectors:
Rb  0.0000  0.0000  0.0000  6 S 3.46-3.47
Rb  0.5000  0.5000  0.0000  6 S 3.34
Ac  0.0000  0.5000  0.5000  6 S 2.98-2.99
Sn  0.5000  0.0000  0.5000  6 S 2.83-2.84
S  0.2495  0.0000  0.7023  1 Sn 2.83, 2 Ac 2.98
S  0.2857  0.5000  0.3067  2 Sn 2.84, 1 Ac 2.99
S  0.7143  0.5000  0.6933  2 Sn 2.84, 1 Ac 2.99
S  0.7505  0.0000  0.2977  1 Sn 2.83, 2 Ac 2.98

Values from the calculation:
The calculation puts the density of states at the Fermi level at 3.49 states/eV per cell. The value obtained for the raw total energy is -4.5714 eV per atom. The calculation puts the total moment at 0.000 μB/cell.


What is the total moment in the fifth record? 0.000 μB/cell


The highest raw total energy belongs to which entry? Rb2AcSbS4


The highest raw total energy belongs to which entry? Rb2AcSbS4